Entry 1:
Crystalline Pr3ErTl4S8 at its relaxed geometry, computed with PBE-GGA.

abc: 8.3251 8.9104 8.3261
angles: 117.86 120.00 90.00
Last column: nearest neighbours and their distance in Å.
Fractional coordinates of all 16 atoms:
Pr 0.0000 0.5000 0.5000  6 S 2.86-2.88
Pr 0.5000 0.5000 0.5000  6 S 2.86-2.88
Pr 0.5000 0.5000 0.0000  6 S 2.86-2.88
S 0.2283 0.7018 0.9737  1 Er 2.77, 2 Pr 2.88
S 0.7717 0.2982 0.5435  1 Er 2.77, 2 Pr 2.88
S 0.2546 0.2982 0.0263  1 Er 2.77, 2 Pr 2.88
S 0.2283 0.7018 0.4565  1 Er 2.77, 2 Pr 2.88
S 0.7717 0.2982 0.0263  1 Er 2.77, 2 Pr 2.88
S 0.7454 0.7018 0.9737  1 Er 2.77, 2 Pr 2.88
S 0.7357 0.7071 0.4715  3 Pr 2.86
S 0.2643 0.2929 0.5285  3 Pr 2.86
Er 0.0000 0.5000 0.0000  6 S 2.77
Tl 0.0000 0.0000 0.0000  6 S 3.25-3.26
Tl 0.5000 0.0000 0.0000  6 S 3.34
Tl 0.5000 0.0000 0.5000  6 S 3.25-3.26
Tl 0.0000 0.0000 0.5000  6 S 3.25-3.26

Values from the calculation:
Mass density, Mg/m³: 6.1
Uncorrected formation energy, eV/atom: -1.4499
Total magnetic moment, μB per cell: 0.00
V, Å³/f.u.: 450

***

Entry 2:
Crystalline SrCrSe2 at its relaxed geometry, computed with PBE-GGA.

abc: 5.0114 4.3734 5.0246
angles: 90.10 90.00 90.00
Last column: nearest neighbours and their distance in Å.
Fractional coordinates of all 4 atoms:
Sr 0.0000 0.5010 0.3746  4 Se 3.03-3.04
Se 0.0000 0.8890 0.8753  2 Cr 2.55
Se 0.5000 0.1094 0.3752  2 Cr 2.56
Cr 0.5000 0.0006 0.8749  4 Se 2.55-2.56

Values from the calculation:
Mass density, Mg/m³: 4.5
Uncorrected formation energy, eV/atom: -1.0176
Total magnetic moment, μB per cell: 4.00
V, Å³/f.u.: 110
Relative energy among the computed polymorphs, eV per atom: 0.025

***

Entry 3:
Crystalline ZrCrCl2 at its relaxed geometry, computed with PBE-GGA.

abc: 4.3654 4.3654 8.8961
angles: 75.80 75.80 90.00
Last column: nearest neighbours and their distance in Å.
Fractional coordinates of all 8 atoms:
Cl 0.1300 0.6250 0.2500  2 Cr 2.59, 2 Zr 2.60
Cl 0.8750 0.8700 0.7500  2 Cr 2.59, 2 Zr 2.60
Cl 0.6200 0.1250 0.2500  2 Cr 2.59, 2 Zr 2.60
Cl 0.3750 0.3800 0.7500  2 Cr 2.59, 2 Zr 2.60
Cr 0.5000 0.5000 0.0000  4 Cl 2.59
Cr 0.2500 0.7500 0.5000  4 Cl 2.59
Zr 0.7500 0.2500 0.5000  4 Cl 2.60
Zr 0.0000 0.0000 0.0000  4 Cl 2.60

Values from the calculation:
Mass density, Mg/m³: 4.5
Uncorrected formation energy, eV/atom: -0.2613
Total magnetic moment, μB per cell: 5.13
V, Å³/f.u.: 79
Relative energy among the computed polymorphs, eV per atom: 0.427